No. 1
A relaxed structure of TaInSi. Source: the Alexandria database, functional PBE.

The space group is I4mm (No. 107) and the conventional cell measures 2.9034, 2.9034 and 13.4615 Å, with angles of 90.00, 90.00 and 90.00 degrees. The asymmetric unit holds Ta at (0.0000, 0.0000, 0.0000), In at (0.0000, 0.0000, 0.3290) and Si at (0.0000, 0.0000, 0.6397).

The calculated density comes out at 9.5 g/cm3. The energy relative to the elements, uncorrected is 0.31 eV per atom. Its total energy is -6.364 eV per atom.

---

No. 2
A relaxed structure of YSc2Zn. Source: the Alexandria database, functional PBE.

The space group is I-4m2 (No. 119) and the conventional cell measures 4.5409, 4.5409 and 9.0112 Å, with angles of 90.00, 90.00 and 90.00 degrees. The asymmetric unit holds Y at (0.0000, 0.0000, 0.0000), Sc at (0.0000, 0.0000, 0.5000), Sc at (0.0000, 0.5000, 0.2500) and Zn at (0.0000, 0.5000, 0.7500).

The calculated density comes out at 4.4 g/cm3. Its total energy is -5.131 eV per atom.

---

No. 3
A relaxed structure of Rb2SbO. Source: the Alexandria database, functional PBE.

The space group is Fm-3m (No. 225) and the conventional cell measures 8.3233, 8.3233 and 8.3233 Å, with angles of 90.00, 90.00 and 90.00 degrees. The asymmetric unit holds Rb at (0.2500, 0.2500, 0.2500), Sb at (0.0000, 0.0000, 0.0000) and O at (0.0000, 0.0000, 0.5000).

The calculated density comes out at 3.6 g/cm3. Its offset from the most stable computed form is 662 meV/atom. The energy relative to the elements, uncorrected is 0.04 eV per atom. Its total energy is -2.713 eV per atom.